PmDy4Hg3 | PBE | optimized geometry

Calculated values
Energy of formation from the pure elements in eV per formula unit: -2.3
Final energy in eV/atom: -3.301

Unit cell a=9.7695 b=9.7695 c=9.7695 alpha=31.20 beta=31.20 gamma=31.20
Last column: nearest neighbours and their distance in Å.
Atoms (fractional coordinates):
Pm (0.0000, 0.0000, 0.0000)  8 Dy 3.44-3.63, 6 Hg 3.56
Dy (0.1304, 0.1304, 0.1304)  6 Hg 3.20-3.51
Dy (0.3917, 0.3917, 0.3917)  4 Hg 3.02-3.04
Dy (0.6083, 0.6083, 0.6083)  4 Hg 3.02-3.04
Dy (0.8696, 0.8696, 0.8696)  6 Hg 3.20-3.51
Hg (0.2662, 0.2662, 0.2662)  3 Dy 3.04
Hg (0.5000, 0.5000, 0.5000)  8 Dy 3.02-3.20
Hg (0.7338, 0.7338, 0.7338)  3 Dy 3.04